# La6Cd3Ag, relaxed, DFT PBE
# - E (eV per atom) = -3.74
data_La6Cd3Ag
_space_group_name_H-M_alt 'P 1 21/m 1'
_space_group_IT_number 11
_space_group_name_Hall '-P 2yb'
_cell_length_a 9.5070
_cell_length_b 5.5700
_cell_length_c 12.3422
_cell_angle_alpha 90.00
_cell_angle_beta 110.21
_cell_angle_gamma 90.00
loop_
_atom_site_label
_atom_site_type_symbol
_atom_site_fract_x
_atom_site_fract_y
_atom_site_fract_z
_atom_site_occupancy
La1 La 0.0376 0.2500 0.4160 1
La2 La 0.1632 0.7500 0.1703 1
La3 La 0.2485 0.2500 0.0023 1
La4 La 0.3492 0.7500 0.8035 1
La5 La 0.3677 0.2500 0.3565 1
La6 La 0.4180 0.2500 0.6357 1
Cd1 Cd 0.0334 0.7500 0.8706 1
Cd2 Cd 0.1067 0.2500 0.7157 1
Cd3 Cd 0.2628 0.7500 0.4753 1
Ag1 Ag 0.4553 0.7500 0.0827 1

***

# LaCd5Ag2, relaxed, DFT PBE
# - E (eV per atom) = -2.08
data_LaCd5Ag2
_space_group_name_H-M_alt 'I m m m'
_space_group_IT_number 71
_space_group_name_Hall '-I 2 2'
_cell_length_a 4.3159
_cell_length_b 8.3139
_cell_length_c 10.6113
_cell_angle_alpha 90.00
_cell_angle_beta 90.00
_cell_angle_gamma 90.00
loop_
_atom_site_label
_atom_site_type_symbol
_atom_site_fract_x
_atom_site_fract_y
_atom_site_fract_z
_atom_site_occupancy
La1 La 0.0000 0.0000 0.0000 1
Cd1 Cd 0.0000 0.1895 0.3559 1
Cd2 Cd 0.0000 0.5000 0.0000 1
Ag1 Ag 0.0000 0.5000 0.2658 1

***

# La5Cd4Ag, relaxed, DFT PBE
# - E (eV per atom) = -3.43
data_La5Cd4Ag
_space_group_name_H-M_alt 'P 4/m m m'
_space_group_IT_number 123
_space_group_name_Hall '-P 4 2'
_cell_length_a 3.9274
_cell_length_b 3.9274
_cell_length_c 19.4248
_cell_angle_alpha 90.00
_cell_angle_beta 90.00
_cell_angle_gamma 90.00
loop_
_atom_site_label
_atom_site_type_symbol
_atom_site_fract_x
_atom_site_fract_y
_atom_site_fract_z
_atom_site_occupancy
La1 La 0.0000 0.0000 0.0000 1
La2 La 0.0000 0.0000 0.2030 1
La3 La 0.0000 0.0000 0.4055 1
Cd1 Cd 0.5000 0.5000 0.1019 1
Cd2 Cd 0.5000 0.5000 0.3029 1
Ag1 Ag 0.5000 0.5000 0.5000 1

***

# LaCd4Ag4, relaxed, DFT PBE
# - E (eV per atom) = -2.28
data_LaCd4Ag4
_space_group_name_H-M_alt 'P 42/n'
_space_group_IT_number 86
_cell_length_a 9.1353
_cell_length_b 9.1353
_cell_length_c 4.9661
_cell_angle_alpha 90.00
_cell_angle_beta 90.00
_cell_angle_gamma 90.00
loop_
_space_group_symop_operation_xyz
'x,y,z'
'-x,-y,-z'
'-y,x+1/2,z+1/2'
'y,-x+1/2,-z+1/2'
'-x+1/2,-y+1/2,z'
'x+1/2,y+1/2,-z'
'y+1/2,-x,z+1/2'
'-y+1/2,x,-z+1/2'
loop_
_atom_site_label
_atom_site_type_symbol
_atom_site_fract_x
_atom_site_fract_y
_atom_site_fract_z
_atom_site_occupancy
La1 La 0.2500 0.2500 0.2500 1
Cd1 Cd 0.1156 0.8398 0.7489 1
Ag1 Ag 0.0434 0.1395 0.7509 1

***

# La3CdAg, relaxed, DFT PBE
# - energy above the most stable polymorph in this dataset (meV/atom) = 75.7
data_La3CdAg
_space_group_name_H-M_alt 'P 1 21/c 1'
_space_group_IT_number 14
_space_group_name_Hall '-P 2ybc'
_cell_length_a 9.7246
_cell_length_b 6.0557
_cell_length_c 12.0574
_cell_angle_alpha 90.00
_cell_angle_beta 122.24
_cell_angle_gamma 90.00
loop_
_atom_site_label
_atom_site_type_symbol
_atom_site_fract_x
_atom_site_fract_y
_atom_site_fract_z
_atom_site_occupancy
La1 La 0.0109 0.0591 0.3602 1
La2 La 0.2986 0.0968 0.9464 1
La3 La 0.3908 0.5609 0.1801 1
Cd1 Cd 0.1436 0.0789 0.1363 1
Ag1 Ag 0.3516 0.6184 0.8907 1

***

# La2Cd5Ag12, relaxed, DFT PBE
# - E (eV per atom) = -2.69
data_La2Cd5Ag12
_space_group_name_H-M_alt 'R -3 m'
_space_group_IT_number 166
_space_group_name_Hall '-R 3 2"'
_cell_length_a 9.8289
_cell_length_b 9.8289
_cell_length_c 14.4776
_cell_angle_alpha 90.00
_cell_angle_beta 90.00
_cell_angle_gamma 120.00
loop_
_atom_site_label
_atom_site_type_symbol
_atom_site_fract_x
_atom_site_fract_y
_atom_site_fract_z
_atom_site_occupancy
La1 La 0.0000 0.0000 0.1485 1
Cd1 Cd 0.0000 0.0000 0.3990 1
Cd2 Cd 0.0000 0.5000 0.0000 1
Ag1 Ag 0.0000 0.3062 0.5000 1
Ag2 Ag 0.0071 0.5036 0.6516 1

***

# La2Cd3Ag, relaxed, DFT PBE
# - E (eV per atom) = -2.93
data_La2Cd3Ag
_space_group_name_H-M_alt 'F m m m'
_space_group_IT_number 69
_space_group_name_Hall '-F 2 2'
_cell_length_a 7.0398
_cell_length_b 10.2002
_cell_length_c 17.6051
_cell_angle_alpha 90.00
_cell_angle_beta 90.00
_cell_angle_gamma 90.00
loop_
_atom_site_label
_atom_site_type_symbol
_atom_site_fract_x
_atom_site_fract_y
_atom_site_fract_z
_atom_site_occupancy
La1 La 0.2454 0.0000 0.0000 1
La2 La 0.2500 0.2500 0.2500 1
Cd1 Cd 0.0000 0.0000 0.3322 1
Cd2 Cd 0.0000 0.2485 0.0840 1
Ag1 Ag 0.0000 0.0000 0.1669 1

***

# LaCd2Ag9, relaxed, DFT PBE
# - energy above the most stable polymorph in this dataset (meV/atom) = 0.0
data_LaCd2Ag9
_space_group_name_H-M_alt 'I 41/a m d'
_space_group_IT_number 141
_cell_length_a 11.4609
_cell_length_b 11.4609
_cell_length_c 7.5448
_cell_angle_alpha 90.00
_cell_angle_beta 90.00
_cell_angle_gamma 90.00
loop_
_space_group_symop_operation_xyz
'x,y,z'
'-x,-y,-z'
'-y+1/4,x+3/4,z+1/4'
'y+1/4,-x+3/4,-z+1/4'
'-x+1/2,-y,z+1/2'
'x+1/2,y,-z+1/2'
'y+1/4,-x+1/4,z+3/4'
'-y+1/4,x+1/4,-z+3/4'
'x,-y,-z'
'-x,y,z'
'-y+1/4,-x+1/4,-z+3/4'
'y+1/4,x+1/4,z+3/4'
'-x+1/2,y,-z+1/2'
'x+1/2,-y,z+1/2'
'y+1/4,x+3/4,-z+1/4'
'-y+1/4,-x+3/4,z+1/4'
'x+1/2,y+1/2,z+1/2'
'-x+1/2,-y+1/2,-z+1/2'
'-y+3/4,x+1/4,z+3/4'
'y+3/4,-x+1/4,-z+3/4'
'-x,-y+1/2,z'
'x,y+1/2,-z'
'y+3/4,-x+3/4,z+1/4'
'-y+3/4,x+3/4,-z+1/4'
'x+1/2,-y+1/2,-z+1/2'
'-x+1/2,y+1/2,z+1/2'
'-y+3/4,-x+3/4,-z+1/4'
'y+3/4,x+3/4,z+1/4'
'-x,y+1/2,-z'
'x,-y+1/2,z'
'y+3/4,x+1/4,-z+3/4'
'-y+3/4,-x+1/4,z+3/4'
loop_
_atom_site_label
_atom_site_type_symbol
_atom_site_fract_x
_atom_site_fract_y
_atom_site_fract_z
_atom_site_occupancy
La1 La 0.0000 0.2500 0.3750 1
Cd1 Cd 0.0000 0.0000 0.0000 1
Ag1 Ag 0.0000 0.2500 0.8750 1
Ag2 Ag 0.1212 0.0432 0.6752 1

***

Calculated D(E_F) in order - 11.61; 4.21; 12.33; 5.06; 4.86; 11.44; 3.93; 4.95 states/eV/f.u.